Record 1
A plane-wave DFT calculation with PBE-GGA was carried out for a geometry-optimized BaLiPu2S4 structure.

electronic total energy	-126.175	eV/cell
M_tot	1.37	μB/atom
formation energy (no corrections)	-1358	kJ/mol of formula units

Structure (CIF):
```
data_BaLiPu2S4
_symmetry_space_group_name_H-M 'P 1'
_symmetry_Int_Tables_number 1
_symmetry_space_group_name_Hall 'P 1'
_cell_length_a 4.1087
_cell_length_b 7.0603
_cell_length_c 13.8355
_cell_angle_alpha 90.00
_cell_angle_beta 90.00
_cell_angle_gamma 106.92
loop_
_atom_site_label
_atom_site_type_symbol
_atom_site_fract_x
_atom_site_fract_y
_atom_site_fract_z
_atom_site_occupancy
Ba1 Ba 0.1126 0.2251 0.7500 1
Ba2 Ba 0.8874 0.7749 0.2500 1
Li1 Li 0.8442 0.6883 0.7500 1
Li2 Li 0.1558 0.3117 0.2500 1
Pu1 Pu 0.3686 0.7372 0.5562 1
Pu2 Pu 0.6314 0.2628 0.0562 1
Pu3 Pu 0.6314 0.2628 0.4438 1
Pu4 Pu 0.3686 0.7372 0.9438 1
S1 S 0.2622 0.5244 0.1137 1
S2 S 0.7378 0.4756 0.6137 1
S3 S 0.7378 0.4756 0.8863 1
S4 S 0.2622 0.5244 0.3863 1
S5 S 0.0000 0.0000 0.5000 1
S6 S 0.0000 0.0000 0.0000 1
S7 S 0.4346 0.8693 0.7500 1
S8 S 0.5654 0.1307 0.2500 1
```

Record 2
A plane-wave DFT calculation with PBE-GGA was carried out for a geometry-optimized Mg2ZnOs structure.

electronic total energy	-15.276	eV/cell
M_tot	0.08	μB/atom
energy relative to the elements	0.4	eV per formula unit

Structure (CIF):
```
data_Mg2ZnOs
_symmetry_space_group_name_H-M 'P 1'
_symmetry_Int_Tables_number 1
_symmetry_space_group_name_Hall 'P 1'
_cell_length_a 4.9863
_cell_length_b 4.9863
_cell_length_c 4.9863
_cell_angle_alpha 133.84
_cell_angle_beta 133.84
_cell_angle_gamma 67.34
loop_
_atom_site_label
_atom_site_type_symbol
_atom_site_fract_x
_atom_site_fract_y
_atom_site_fract_z
_atom_site_occupancy
Mg1 Mg 0.0000 0.0000 0.0000 1
Mg2 Mg 0.2500 0.7500 0.5000 1
Os1 Os 0.5000 0.5000 0.0000 1
Zn1 Zn 0.7500 0.2500 0.5000 1
```

Record 3
A plane-wave DFT calculation with PBE-GGA was carried out for a geometry-optimized SmDy2Al9 structure.

electronic total energy	-52.570	eV/cell
M_tot	0.00	μB/atom
energy relative to the elements	-5.0	eV per formula unit
energy relative to the lowest polymorph listed for this composition	0.0	meV per atom

Structure (CIF):
```
data_SmDy2Al9
_symmetry_space_group_name_H-M 'P 1'
_symmetry_Int_Tables_number 1
_symmetry_space_group_name_Hall 'P 1'
_cell_length_a 4.2798
_cell_length_b 4.2798
_cell_length_c 12.8352
_cell_angle_alpha 90.00
_cell_angle_beta 90.00
_cell_angle_gamma 90.00
loop_
_atom_site_label
_atom_site_type_symbol
_atom_site_fract_x
_atom_site_fract_y
_atom_site_fract_z
_atom_site_occupancy
Sm1 Sm 0.0000 0.0000 0.0000 1
Dy1 Dy 0.0000 0.0000 0.3348 1
Dy2 Dy 0.0000 0.0000 0.6652 1
Al1 Al 0.5000 0.5000 0.0000 1
Al2 Al 0.5000 0.5000 0.3339 1
Al3 Al 0.5000 0.5000 0.6661 1
Al4 Al 0.5000 0.0000 0.1695 1
Al5 Al 0.5000 0.0000 0.5000 1
Al6 Al 0.5000 0.0000 0.8305 1
Al7 Al 0.0000 0.5000 0.1695 1
Al8 Al 0.0000 0.5000 0.5000 1
Al9 Al 0.0000 0.5000 0.8305 1
```

Record 4
A plane-wave DFT calculation with PBE-GGA was carried out for a geometry-optimized LaEr2Mg structure.

electronic total energy	-15.531	eV/cell
M_tot	0.00	μB/atom
energy relative to the elements	0.1	eV per formula unit
energy relative to the lowest polymorph listed for this composition	49.6	meV per atom

Structure (CIF):
```
data_LaEr2Mg
_symmetry_space_group_name_H-M 'P 1'
_symmetry_Int_Tables_number 1
_symmetry_space_group_name_Hall 'P 1'
_cell_length_a 5.0453
_cell_length_b 4.9272
_cell_length_c 4.9272
_cell_angle_alpha 90.00
_cell_angle_beta 90.00
_cell_angle_gamma 90.00
loop_
_atom_site_label
_atom_site_type_symbol
_atom_site_fract_x
_atom_site_fract_y
_atom_site_fract_z
_atom_site_occupancy
Mg1 Mg 0.5000 0.0000 0.0000 1
La1 La 0.5000 0.5000 0.5000 1
Er1 Er 0.0000 0.0000 0.5000 1
Er2 Er 0.0000 0.5000 0.0000 1
```

Record 5
A plane-wave DFT calculation with PBE-GGA was carried out for a geometry-optimized TbHgSe2 structure.

electronic total energy	-16.086	eV/cell
M_tot	0.00	μB/atom
formation energy (no corrections)	-404	kJ/mol of formula units
energy relative to the lowest polymorph listed for this composition	0.0	meV per atom

Structure (CIF):
```
data_TbHgSe2
_symmetry_space_group_name_H-M 'P 1'
_symmetry_Int_Tables_number 1
_symmetry_space_group_name_Hall 'P 1'
_cell_length_a 4.1963
_cell_length_b 4.1963
_cell_length_c 7.6999
_cell_angle_alpha 74.19
_cell_angle_beta 74.19
_cell_angle_gamma 60.00
loop_
_atom_site_label
_atom_site_type_symbol
_atom_site_fract_x
_atom_site_fract_y
_atom_site_fract_z
_atom_site_occupancy
Tb1 Tb 0.6656 0.6656 0.0031 1
Hg1 Hg 0.4998 0.4998 0.5007 1
Se1 Se 0.0724 0.0724 0.7827 1
Se2 Se 0.2622 0.2622 0.2135 1
```

Record 6
A plane-wave DFT calculation with PBE-GGA was carried out for a geometry-optimized Sm2HoCo2 structure.

electronic total energy	-57.398	eV/cell
M_tot	0.00	μB/atom
energy relative to the elements	-0.5	eV per formula unit
energy relative to the lowest polymorph listed for this composition	0.0	meV per atom

Structure (CIF):
```
data_Sm2HoCo2
_symmetry_space_group_name_H-M 'P 1'
_symmetry_Int_Tables_number 1
_symmetry_space_group_name_Hall 'P 1'
_cell_length_a 3.8561
_cell_length_b 6.5407
_cell_length_c 9.6955
_cell_angle_alpha 82.80
_cell_angle_beta 78.53
_cell_angle_gamma 72.86
loop_
_atom_site_label
_atom_site_type_symbol
_atom_site_fract_x
_atom_site_fract_y
_atom_site_fract_z
_atom_site_occupancy
Sm1 Sm 0.3355 0.2554 0.0736 1
Sm2 Sm 0.4669 0.3726 0.6936 1
Sm3 Sm 0.6645 0.7446 0.9264 1
Sm4 Sm 0.5331 0.6274 0.3064 1
Ho1 Ho 0.7832 0.0708 0.3628 1
Ho2 Ho 0.2168 0.9292 0.6372 1
Co1 Co 0.9919 0.1227 0.8934 1
Co2 Co 0.1051 0.3329 0.4568 1
Co3 Co 0.0081 0.8773 0.1066 1
Co4 Co 0.8949 0.6671 0.5432 1
```

Record 7
A plane-wave DFT calculation with PBE-GGA was carried out for a geometry-optimized CsGeBr4 structure.

electronic total energy	-35.483	eV/cell
M_tot	0.00	μB/atom
formation energy (no corrections)	-538	kJ/mol of formula units
energy relative to the lowest polymorph listed for this composition	0.0	meV per atom

Structure (CIF):
```
data_CsGeBr4
_symmetry_space_group_name_H-M 'P 1'
_symmetry_Int_Tables_number 1
_symmetry_space_group_name_Hall 'P 1'
_cell_length_a 5.3728
_cell_length_b 7.8550
_cell_length_c 10.9498
_cell_angle_alpha 90.00
_cell_angle_beta 104.20
_cell_angle_gamma 90.00
loop_
_atom_site_label
_atom_site_type_symbol
_atom_site_fract_x
_atom_site_fract_y
_atom_site_fract_z
_atom_site_occupancy
Cs1 Cs 0.4020 0.7500 0.8039 1
Cs2 Cs 0.5980 0.2500 0.1961 1
Ge1 Ge 0.0992 0.7500 0.1983 1
Ge2 Ge 0.9008 0.2500 0.8017 1
Br1 Br 0.1773 0.5196 0.3546 1
Br2 Br 0.8227 0.4804 0.6454 1
Br3 Br 0.1773 0.9804 0.3546 1
Br4 Br 0.8227 0.0196 0.6454 1
Br5 Br 0.5814 0.7500 0.1628 1
Br6 Br 0.4186 0.2500 0.8372 1
Br7 Br 0.0000 0.5000 0.0000 1
Br8 Br 0.0000 0.0000 0.0000 1
```

Record 8
A plane-wave DFT calculation with PBE-GGA was carried out for a geometry-optimized PuCd2In4 structure.

electronic total energy	-27.120	eV/cell
M_tot	0.89	μB/atom
energy relative to the elements	0.0	eV per formula unit

Structure (CIF):
```
data_PuCd2In4
_symmetry_space_group_name_H-M 'P 1'
_symmetry_Int_Tables_number 1
_symmetry_space_group_name_Hall 'P 1'
_cell_length_a 4.5951
_cell_length_b 6.4809
_cell_length_c 6.4809
_cell_angle_alpha 101.34
_cell_angle_beta 90.00
_cell_angle_gamma 90.00
loop_
_atom_site_label
_atom_site_type_symbol
_atom_site_fract_x
_atom_site_fract_y
_atom_site_fract_z
_atom_site_occupancy
Cd1 Cd 0.0000 0.7336 0.2664 1
Cd2 Cd 0.0000 0.2664 0.7336 1
In1 In 0.0000 0.8000 0.8000 1
In2 In 0.0000 0.2000 0.2000 1
In3 In 0.5000 0.0000 0.5000 1
In4 In 0.5000 0.5000 0.0000 1
Pu1 Pu 0.5000 0.5000 0.5000 1
```

Record 9
A plane-wave DFT calculation with PBE-GGA was carried out for a geometry-optimized Ac2Sm2Tl3 structure.

electronic total energy	-26.305	eV/cell
M_tot	0.00	μB/atom
energy relative to the elements	-1.6	eV per formula unit
energy relative to the lowest polymorph listed for this composition	13.6	meV per atom

Structure (CIF):
```
data_Ac2Sm2Tl3
_symmetry_space_group_name_H-M 'P 1'
_symmetry_Int_Tables_number 1
_symmetry_space_group_name_Hall 'P 1'
_cell_length_a 4.6224
_cell_length_b 3.7694
_cell_length_c 13.5366
_cell_angle_alpha 90.00
_cell_angle_beta 80.17
_cell_angle_gamma 90.00
loop_
_atom_site_label
_atom_site_type_symbol
_atom_site_fract_x
_atom_site_fract_y
_atom_site_fract_z
_atom_site_occupancy
Ac1 Ac 0.5746 0.5000 0.8509 1
Ac2 Ac 0.4254 0.5000 0.1491 1
Sm1 Sm 0.7045 0.5000 0.5909 1
Sm2 Sm 0.2955 0.5000 0.4091 1
Tl1 Tl 0.8443 0.0000 0.3113 1
Tl2 Tl 0.0000 0.0000 0.0000 1
Tl3 Tl 0.1557 0.0000 0.6887 1
```

Record 10
A plane-wave DFT calculation with PBE-GGA was carried out for a geometry-optimized KCdSb3 structure.

electronic total energy	-8.500	eV/cell
M_tot	0.00	μB/atom
formation energy (no corrections)	567	kJ/mol of formula units
energy relative to the lowest polymorph listed for this composition	881.8	meV per atom

Structure (CIF):
```
data_KCdSb3
_symmetry_space_group_name_H-M 'P 1'
_symmetry_Int_Tables_number 1
_symmetry_space_group_name_Hall 'P 1'
_cell_length_a 5.8733
_cell_length_b 5.8733
_cell_length_c 5.8733
_cell_angle_alpha 90.00
_cell_angle_beta 90.00
_cell_angle_gamma 90.00
loop_
_atom_site_label
_atom_site_type_symbol
_atom_site_fract_x
_atom_site_fract_y
_atom_site_fract_z
_atom_site_occupancy
Sb1 Sb 0.0000 0.5000 0.0000 1
Sb2 Sb 0.0000 0.0000 0.5000 1
Sb3 Sb 0.5000 0.0000 0.0000 1
K1 K 0.0000 0.0000 0.0000 1
Cd1 Cd 0.5000 0.5000 0.5000 1
```